(1)
# PBE B3C, relaxed
data_B3C
_chemical_formula_sum 'B18 C6'
_symmetry_space_group_name_H-M 'C 1 m 1'
_symmetry_Int_Tables_number 8
_cell_length_a 7.8133
_cell_length_b 2.7632
_cell_length_c 8.0058
_cell_angle_alpha 90.00
_cell_angle_beta 107.85
_cell_angle_gamma 90.00
loop_
_symmetry_equiv_pos_as_xyz
'x,y,z'
'x,-y,z'
'x+1/2,y+1/2,z'
'x+1/2,-y+1/2,z'
loop_
_atom_site_label
_atom_site_fract_x
_atom_site_fract_y
_atom_site_fract_z
_atom_site_occupancy
B1 0.0000 0.0000 0.0000 1
B2 0.0025 0.5000 0.4618 1
B3 0.0700 0.5000 0.6926 1
B4 0.1241 0.0000 0.8542 1
B5 0.2207 0.5000 0.2539 1
B6 0.3277 0.0000 0.6073 1
B7 0.3389 0.0000 0.9861 1
B8 0.3823 0.5000 0.1352 1
B9 0.4837 0.0000 0.8566 1
C1 0.1140 0.0000 0.2303 1
C2 0.2238 0.5000 0.5922 1
C3 0.4649 0.5000 0.3518 1
# theoretical density	2.69	g cm⁻³
# calculated formation energy	0.293	eV/atom
# distance to the lowest polymorph of the same formula	52	meV/atom
# crystal system	monoclinic

(2)
# PBE B7C5, relaxed
data_B7C5
_chemical_formula_sum 'B7 C5'
_symmetry_space_group_name_H-M 'P 1'
_symmetry_Int_Tables_number 1
_cell_length_a 4.6326
_cell_length_b 4.6396
_cell_length_c 4.6848
_cell_angle_alpha 80.09
_cell_angle_beta 60.56
_cell_angle_gamma 72.37
loop_
_symmetry_equiv_pos_as_xyz
'x,y,z'
loop_
_atom_site_label
_atom_site_fract_x
_atom_site_fract_y
_atom_site_fract_z
_atom_site_occupancy
B1 0.0000 0.0000 0.0000 1
B2 0.0506 0.9327 0.6250 1
B3 0.1646 0.7466 0.2989 1
B4 0.2769 0.2877 0.9557 1
B5 0.4118 0.7486 0.6678 1
B6 0.5719 0.3444 0.2956 1
B7 0.7416 0.7497 0.9792 1
C1 0.2166 0.3952 0.2983 1
C2 0.4002 0.9089 0.9516 1
C3 0.5797 0.4048 0.6137 1
C4 0.9007 0.3857 0.9409 1
C5 0.9223 0.2971 0.6160 1
# theoretical density	2.70	g cm⁻³
# calculated formation energy	0.386	eV/atom
# distance to the lowest polymorph of the same formula	222	meV/atom
# crystal system	triclinic

(3)
# PBE B7C5, relaxed
data_B7C5
_chemical_formula_sum 'B7 C5'
_symmetry_space_group_name_H-M 'P 1 m 1'
_symmetry_Int_Tables_number 6
_cell_length_a 4.8310
_cell_length_b 2.6211
_cell_length_c 7.9820
_cell_angle_alpha 90.00
_cell_angle_beta 92.20
_cell_angle_gamma 90.00
loop_
_symmetry_equiv_pos_as_xyz
'x,y,z'
'x,-y,z'
loop_
_atom_site_label
_atom_site_fract_x
_atom_site_fract_y
_atom_site_fract_z
_atom_site_occupancy
B1 0.0000 0.0000 0.0000 1
B2 0.0419 0.0000 0.7653 1
B3 0.1982 0.5000 0.3073 1
B4 0.2646 0.5000 0.7544 1
B5 0.3560 0.0000 0.0907 1
B6 0.5533 0.5000 0.9932 1
B7 0.6910 0.0000 0.3016 1
C1 0.3662 0.0000 0.2948 1
C2 0.5789 0.5000 0.7812 1
C3 0.7326 0.0000 0.7642 1
C4 0.8688 0.5000 0.0793 1
C5 0.8695 0.5000 0.2747 1
# theoretical density	2.23	g cm⁻³
# calculated formation energy	0.377	eV/atom
# distance to the lowest polymorph of the same formula	212	meV/atom
# crystal system	monoclinic

(4)
# PBE BC, relaxed
data_BC
_chemical_formula_sum 'B12 C12'
_symmetry_space_group_name_H-M 'C 1 2/m 1'
_symmetry_Int_Tables_number 12
_cell_length_a 14.4899
_cell_length_b 2.6093
_cell_length_c 4.4187
_cell_angle_alpha 90.00
_cell_angle_beta 107.65
_cell_angle_gamma 90.00
loop_
_symmetry_equiv_pos_as_xyz
'x,y,z'
'-x,-y,-z'
'-x,y,-z'
'x,-y,z'
'x+1/2,y+1/2,z'
'-x+1/2,-y+1/2,-z'
'-x+1/2,y+1/2,-z'
'x+1/2,-y+1/2,z'
loop_
_atom_site_label
_atom_site_fract_x
_atom_site_fract_y
_atom_site_fract_z
_atom_site_occupancy
B1 0.0597 0.0000 0.0974 1
B2 0.0602 0.5000 0.4957 1
B3 0.1187 0.5000 0.9464 1
C1 0.1189 0.0000 0.4754 1
C2 0.2310 0.0000 0.5655 1
C3 0.2317 0.5000 0.0623 1
# theoretical density	2.86	g cm⁻³
# calculated formation energy	0.469	eV/atom
# distance to the lowest polymorph of the same formula	318	meV/atom
# crystal system	monoclinic

(5)
# PBE BC, relaxed
data_BC
_chemical_formula_sum 'B6 C6'
_symmetry_space_group_name_H-M 'P -1'
_symmetry_Int_Tables_number 2
_cell_length_a 3.5661
_cell_length_b 3.5723
_cell_length_c 6.5524
_cell_angle_alpha 74.60
_cell_angle_beta 89.74
_cell_angle_gamma 86.35
loop_
_symmetry_equiv_pos_as_xyz
'x,y,z'
'-x,-y,-z'
loop_
_atom_site_label
_atom_site_fract_x
_atom_site_fract_y
_atom_site_fract_z
_atom_site_occupancy
B1 0.0843 0.1131 0.0977 1
B2 0.3314 0.4643 0.9082 1
B3 0.3717 0.7298 0.2874 1
C1 0.1198 0.4070 0.4263 1
C2 0.1346 0.7725 0.7055 1
C3 0.3711 0.0847 0.5723 1
# theoretical density	2.83	g cm⁻³
# calculated formation energy	0.396	eV/atom
# distance to the lowest polymorph of the same formula	245	meV/atom
# crystal system	triclinic

(6)
# PBE BC, relaxed
data_BC
_chemical_formula_sum 'B12 C12'
_symmetry_space_group_name_H-M 'C 1 m 1'
_symmetry_Int_Tables_number 8
_cell_length_a 14.1347
_cell_length_b 2.6288
_cell_length_c 4.6273
_cell_angle_alpha 90.00
_cell_angle_beta 97.61
_cell_angle_gamma 90.00
loop_
_symmetry_equiv_pos_as_xyz
'x,y,z'
'x,-y,z'
'x+1/2,y+1/2,z'
'x+1/2,-y+1/2,z'
loop_
_atom_site_label
_atom_site_fract_x
_atom_site_fract_y
_atom_site_fract_z
_atom_site_occupancy
B1 0.0000 0.0000 0.0000 1
B2 0.0191 0.5000 0.7899 1
B3 0.1740 0.5000 0.5327 1
B4 0.2144 0.0000 0.0557 1
B5 0.3291 0.5000 0.4116 1
B6 0.4034 0.0000 0.9545 1
C1 0.0201 0.0000 0.3408 1
C2 0.0544 0.5000 0.4920 1
C3 0.2200 0.5000 0.2286 1
C4 0.2275 0.0000 0.7213 1
C5 0.3302 0.0000 0.6556 1
C6 0.4123 0.5000 0.1837 1
# theoretical density	2.67	g cm⁻³
# calculated formation energy	0.358	eV/atom
# distance to the lowest polymorph of the same formula	207	meV/atom
# crystal system	monoclinic